VASP calculation (GGA-PBE) on crystalline Re4TeRu at its relaxed geometry.

Lattice parameters (Å, degrees): 5.246 5.246 5.246 60.00 60.00 60.00
Atoms (fractional coordinates):
Re  0.124  0.124  0.124
Re  0.124  0.124  0.628
Re  0.124  0.628  0.124
Re  0.628  0.124  0.124
Te  0.500  0.500  0.500
Ru  0.750  0.750  0.750

* energy relative to the elements, uncorrected: 0.854 eV/atom
* magnetization: 0.00 μB/f.u.
* raw total energy: -57.1 eV for the cell shown

---

VASP calculation (GGA-PBE) on crystalline PmPrGaPd at its relaxed geometry.

Lattice parameters (Å, degrees): 5.199 5.199 5.199 60.00 60.00 60.00
Atoms (fractional coordinates):
Pm  0.000  0.000  0.000
Pr  0.500  0.500  0.500
Ga  0.750  0.750  0.750
Pd  0.250  0.250  0.250

* ΔH_f (0 K): -0.5932 eV per atom
* energy above the most stable polymorph in this dataset: 0.0682 eV per atom
* magnetization: 0.00 μB/f.u.
* raw total energy: -20.1 eV for the cell shown

---

VASP calculation (GGA-PBE) on crystalline Y2TmSc3Bi6 at its relaxed geometry.

Lattice parameters (Å, degrees): 7.568 7.568 7.558 99.60 99.60 120.02
Atoms (fractional coordinates):
Y  0.166  0.834  0.000
Y  0.834  0.166  0.000
Tm  0.500  0.500  0.000
Sc  0.000  0.000  0.500
Sc  0.332  0.668  0.500
Sc  0.668  0.332  0.500
Bi  0.081  0.412  0.737
Bi  0.258  0.258  0.265
Bi  0.412  0.081  0.737
Bi  0.588  0.919  0.263
Bi  0.742  0.742  0.735
Bi  0.919  0.588  0.263

* ΔH_f (0 K): -0.7558 eV per atom
* magnetization: 0.00 μB/f.u.
* raw total energy: -68.7 eV for the cell shown

---

VASP calculation (GGA-PBE) on crystalline YTm4Sb5 at its relaxed geometry.

Lattice parameters (Å, degrees): 11.503 11.503 11.503 158.21 149.00 38.21
Atoms (fractional coordinates):
Y  0.000  0.000  0.000
Tm  0.201  0.201  0.000
Tm  0.400  0.400  0.000
Tm  0.600  0.600  0.000
Tm  0.799  0.799  0.000
Sb  0.101  0.601  0.500
Sb  0.300  0.800  0.500
Sb  0.500  0.000  0.500
Sb  0.700  0.200  0.500
Sb  0.899  0.399  0.500

* energy relative to the elements, uncorrected: -1.087 eV/atom
* magnetization: 0.00 μB/f.u.
* raw total energy: -55.8 eV for the cell shown

---

VASP calculation (GGA-PBE) on crystalline HfZnPS2 at its relaxed geometry.

Lattice parameters (Å, degrees): 4.552 4.552 4.566 90.00 90.00 90.00
Atoms (fractional coordinates):
Hf  0.000  0.000  0.000
Zn  0.500  0.500  0.500
P  0.500  0.500  0.000
S  0.000  0.500  0.500
S  0.500  0.000  0.500

* energy relative to the elements, uncorrected: 0.332 eV/atom
* energy above the most stable polymorph in this dataset: 0.4392 eV per atom
* magnetization: 0.00 μB/f.u.
* raw total energy: -23.2 eV for the cell shown

---

VASP calculation (GGA-PBE) on crystalline InHgTeN2 at its relaxed geometry.

Lattice parameters (Å, degrees): 4.372 4.372 6.517 90.00 90.00 90.00
Atoms (fractional coordinates):
In  0.000  0.000  0.000
Hg  0.500  0.500  0.500
Te  0.500  0.500  0.000
N  0.000  0.500  0.500
N  0.500  0.000  0.500

* energy relative to the elements, uncorrected: 1.638 eV/atom
* energy above the most stable polymorph in this dataset: 0.3303 eV per atom
* magnetization: 3.35 μB/f.u.
* raw total energy: -14.6 eV for the cell shown

---

VASP calculation (GGA-PBE) on crystalline KHO2F at its relaxed geometry.

Lattice parameters (Å, degrees): 3.249 3.249 5.823 90.00 90.00 90.00
Atoms (fractional coordinates):
K  0.000  0.000  0.000
H  0.500  0.500  0.500
O  0.000  0.500  0.500
O  0.500  0.000  0.500
F  0.500  0.500  0.000

* magnetization: 0.88 μB/f.u.
* raw total energy: -16.9 eV for the cell shown

---

VASP calculation (GGA-PBE) on crystalline AlTc2 at its relaxed geometry.

Lattice parameters (Å, degrees): 4.894 4.428 8.064 90.00 90.00 90.00
Atoms (fractional coordinates):
Al  0.148  0.250  0.153
Al  0.352  0.750  0.653
Al  0.648  0.250  0.347
Al  0.852  0.750  0.847
Tc  0.160  0.250  0.496
Tc  0.179  0.250  0.818
Tc  0.321  0.750  0.318
Tc  0.340  0.750  0.996
Tc  0.660  0.250  0.004
Tc  0.679  0.250  0.682
Tc  0.821  0.750  0.182
Tc  0.840  0.750  0.504

* ΔH_f (0 K): -0.1977 eV per atom
* energy above the most stable polymorph in this dataset: 0.2160 eV per atom
* magnetization: 0.00 μB/f.u.
* raw total energy: -100.3 eV for the cell shown